1.
{"formula": "K5LiF6", "functional": "GGA-PBE", "state": "optimized geometry", "formation_energy_uncorrected_ev_per_atom": -2.692, "dft_energy_ev_per_cell": -50.94, "magmom_total_mub_per_cell": 0.4, "lattice": [[6.381, 0.133, 0.000], [1.922, 6.112, 0.000], [0.961, 3.056, 5.651]], "species": ["F", "K", "K", "F", "F", "F", "Li", "K", "K", "F", "K", "F"], "frac_coords": [[0.253, 0.911, 0.677], [0.500, 0.500, 0.000], [0.500, 0.837, 0.325], [0.191, 0.194, 0.000], [0.747, 0.089, 0.323], [0.809, 0.806, 0.000], [0.000, 0.000, 0.000], [0.000, 0.331, 0.338], [0.500, 0.163, 0.675], [0.747, 0.412, 0.677], [0.000, 0.669, 0.662], [0.253, 0.588, 0.323]]}



2.
{"formula": "SrPb3S", "functional": "GGA-PBE", "state": "optimized geometry", "formation_energy_uncorrected_ev_per_atom": -0.153, "dft_energy_ev_per_cell": -17.70, "magmom_total_mub_per_cell": 0.0, "lattice": [[-5.096, -0.564, 2.244], [-0.054, -5.398, -1.479], [2.313, -1.369, 4.909]], "species": ["Sr", "Pb", "Pb", "Pb", "S"], "frac_coords": [[0.500, 0.500, 0.500], [0.500, 0.000, 0.000], [0.000, 0.000, 0.500], [0.000, 0.500, 0.000], [0.000, 0.000, 0.000]]}



3.
{"formula": "PmNdHo", "functional": "GGA-PBE", "state": "optimized geometry", "dft_energy_ev_per_cell": -28.10, "ef_mev_per_atom": 16, "magmom_total_mub_per_cell": 0.0, "lattice": [[-1.294, 4.358, -2.381], [-4.766, -3.625, -4.044], [0.412, 1.451, 7.962]], "species": ["Ho", "Nd", "Nd", "Pm", "Ho", "Pm"], "frac_coords": [[0.168, 0.001, 0.336], [0.500, 0.500, 0.000], [0.500, 0.000, 0.000], [0.834, 0.500, 0.667], [0.832, 0.999, 0.664], [0.166, 0.500, 0.333]]}



4.
{"formula": "Pm2YAg6", "functional": "GGA-PBE", "state": "optimized geometry", "dft_energy_ev_per_cell": -35.38, "ef_mev_per_atom": -257, "magmom_total_mub_per_cell": 0.0, "lattice": [[3.508, 0.000, 0.000], [0.000, 7.183, -4.147], [0.000, 0.000, 8.294]], "species": ["Pm", "Pm", "Ag", "Ag", "Ag", "Y", "Ag", "Ag", "Ag"], "frac_coords": [[0.000, 0.333, 0.667], [0.000, 0.667, 0.333], [0.500, 0.332, 0.332], [0.500, 0.668, 0.000], [0.500, 0.000, 0.668], [0.000, 0.000, 0.000], [0.500, 0.668, 0.668], [0.500, 0.000, 0.332], [0.500, 0.332, 0.000]]}



5.
{"formula": "LiAlSiPd", "functional": "GGA-PBE", "state": "optimized geometry", "formation_energy_uncorrected_ev_per_atom": -0.433, "dft_energy_ev_per_cell": -18.00, "magmom_total_mub_per_cell": 0.0, "lattice": [[4.294, 0.000, 0.000], [2.147, 3.719, 0.000], [2.147, 1.240, 3.506]], "species": ["Al", "Pd", "Li", "Si"], "frac_coords": [[0.000, 0.000, 0.000], [0.250, 0.250, 0.250], [0.750, 0.750, 0.750], [0.500, 0.500, 0.500]]}



6.
{"formula": "DyThZnCu", "functional": "GGA-PBE", "state": "optimized geometry", "dft_energy_ev_per_cell": -18.06, "ef_mev_per_atom": -167, "magmom_total_mub_per_cell": 0.0, "lattice": [[5.061, 0.000, 0.000], [2.531, 4.383, 0.000], [2.531, 1.461, 4.132]], "species": ["Th", "Zn", "Dy", "Cu"], "frac_coords": [[0.500, 0.500, 0.500], [0.750, 0.750, 0.750], [0.000, 0.000, 0.000], [0.250, 0.250, 0.250]]}



7.
{"formula": "CdSiW2", "functional": "GGA-PBE", "state": "optimized geometry", "formation_energy_uncorrected_ev_per_atom": 0.469, "dft_energy_ev_per_cell": -30.37, "magmom_total_mub_per_cell": 0.0, "lattice": [[-2.955, 1.474, 2.360], [-1.903, -0.706, -1.942], [-1.895, -5.677, 1.172]], "species": ["Si", "W", "Cd", "W"], "frac_coords": [[0.500, 0.750, 0.750], [0.000, 0.959, 0.961], [0.500, 0.250, 0.250], [0.000, 0.541, 0.539]]}



8.
{"formula": "Li2LaTb2Bi2", "functional": "GGA-PBE", "state": "optimized geometry", "dft_energy_ev_per_cell": -28.90, "ef_mev_per_atom": -446, "magmom_total_mub_per_cell": 1.0, "lattice": [[4.911, 0.000, 0.000], [2.456, 4.253, 0.000], [2.456, 1.418, 9.174]], "species": ["Tb", "Bi", "Li", "Tb", "La", "Bi", "Li"], "frac_coords": [[0.132, 0.132, 0.603], [0.261, 0.261, 0.216], [0.417, 0.417, 0.748], [0.868, 0.868, 0.397], [0.000, 0.000, 0.000], [0.739, 0.739, 0.784], [0.583, 0.583, 0.252]]}



9.
{"formula": "AcGdCo", "functional": "GGA-PBE", "state": "optimized geometry", "dft_energy_ev_per_cell": -25.13, "ef_mev_per_atom": 57, "magmom_total_mub_per_cell": 6.5, "lattice": [[3.559, 0.000, 0.000], [0.000, 3.559, 0.000], [-1.779, -1.779, 6.657]], "species": ["Ac", "Co", "Gd"], "frac_coords": [[0.298, 0.298, 0.596], [0.656, 0.656, 0.313], [0.046, 0.046, 0.091]]}



10.
{"formula": "ScBeAs2", "functional": "GGA-PBE", "state": "optimized geometry", "dft_energy_ev_per_cell": -20.31, "ef_mev_per_atom": -239, "magmom_total_mub_per_cell": 0.0, "lattice": [[3.461, 0.042, 0.000], [-0.050, 3.461, 0.000], [0.000, 0.000, 5.547]], "species": ["As", "As", "Sc", "Be"], "frac_coords": [[0.000, 0.000, 0.479], [0.000, 0.000, 0.021], [0.500, 0.500, 0.750], [0.500, 0.500, 0.250]]}



11.
{"formula": "Ta5VFe4", "functional": "GGA-PBE", "state": "optimized geometry", "dft_energy_ev_per_cell": -103.54, "ef_mev_per_atom": -131, "magmom_total_mub_per_cell": 3.1, "lattice": [[3.078, 0.000, 0.000], [0.000, 3.078, 0.000], [0.000, 0.000, 15.474]], "species": ["V", "Fe", "Ta", "Ta", "Fe", "Ta", "Ta", "Ta", "Fe", "Fe"], "frac_coords": [[0.000, 0.000, 0.000], [0.000, 0.000, 0.205], [0.500, 0.500, 0.896], [0.500, 0.500, 0.303], [0.000, 0.000, 0.600], [0.500, 0.500, 0.697], [0.500, 0.500, 0.500], [0.500, 0.500, 0.104], [0.000, 0.000, 0.795], [0.000, 0.000, 0.400]]}